# 1
## HRuN2 (PBE)

Data for an optimized crystal structure of HRuN2.

a b c (Å): 5.2825 5.2825 5.2825
angles (deg): 30.60 30.60 30.60
Closest atoms and distances in Å follow each position.
Positions (direct):
N  0.1236  0.1236  0.1236  3 H 1.74, 1 Ru 1.86
N  0.8764  0.8764  0.8764  3 H 1.74, 1 Ru 1.86
H  0.5000  0.5000  0.5000  6 N 1.74
Ru  0.0000  0.0000  0.0000  2 N 1.86

Properties
Its total energy is -22.5 eV per cell. As for the crystal system: trigonal. As for the density of states at the Fermi level: 0.72 states/eV per atom.


# 2
## HRuN2 (PBE)

Data for an optimized crystal structure of HRuN2.

a b c (Å): 3.4966 3.4966 3.4966
angles (deg): 60.00 60.00 60.00
Closest atoms and distances in Å follow each position.
Positions (direct):
N  0.7500  0.7500  0.7500  4 H 2.14, 4 Ru 2.14
N  0.2500  0.2500  0.2500  4 H 2.14, 4 Ru 2.14
H  0.0000  0.0000  0.0000  8 N 2.14
Ru  0.5000  0.5000  0.5000  8 N 2.14

Properties
Its total energy is -23.5 eV per cell. As for the crystal system: cubic. As for the density of states at the Fermi level: 1.23 states/eV per atom.


Copy entry 1 word for word.
## HRuN2 (PBE)

Data for an optimized crystal structure of HRuN2.

a b c (Å): 5.2825 5.2825 5.2825
angles (deg): 30.60 30.60 30.60
Closest atoms and distances in Å follow each position.
Positions (direct):
N  0.1236  0.1236  0.1236  3 H 1.74, 1 Ru 1.86
N  0.8764  0.8764  0.8764  3 H 1.74, 1 Ru 1.86
H  0.5000  0.5000  0.5000  6 N 1.74
Ru  0.0000  0.0000  0.0000  2 N 1.86

Properties
Its total energy is -22.5 eV per cell. As for the crystal system: trigonal. As for the density of states at the Fermi level: 0.72 states/eV per atom.